1.
Crystalline CaLaBe2I at its relaxed geometry. Source: Alexandria, functional PBE.

Properties
uncorrected formation energy	0.72	eV/atom
DFT total energy	-2.47	eV per atom

The structure in CIF format:
```
data_CaLaBe2I
_chemical_formula_sum 'Ca1 La1 Be2 I1'
_cell_length_a 5.261
_cell_length_b 6.091
_cell_length_c 5.261
_cell_angle_alpha 90.00
_cell_angle_beta 90.00
_cell_angle_gamma 90.00
_space_group_name_H-M_alt 'P 1'
_space_group_IT_number 1
loop_
_space_group_symop_operation_xyz
'x,y,z'
loop_
_atom_site_label
_atom_site_fract_x
_atom_site_fract_y
_atom_site_fract_z
_atom_site_occupancy
Ca1 0.500 0.500 0.500 1
La1 0.000 0.000 0.000 1
I1 0.000 0.500 0.000 1
Be1 0.000 0.000 0.500 1
Be2 0.500 0.000 0.000 1
```

2.
Crystalline Y2HgHPt at its relaxed geometry. Source: Alexandria, functional PBE.

Properties
DFT total energy	-5.24	eV per atom

The structure in CIF format:
```
data_Y2HgHPt
_chemical_formula_sum 'Y2 Hg1 H1 Pt1'
_cell_length_a 5.091
_cell_length_b 5.091
_cell_length_c 3.730
_cell_angle_alpha 90.00
_cell_angle_beta 90.00
_cell_angle_gamma 90.00
_space_group_name_H-M_alt 'P 1'
_space_group_IT_number 1
loop_
_space_group_symop_operation_xyz
'x,y,z'
loop_
_atom_site_label
_atom_site_fract_x
_atom_site_fract_y
_atom_site_fract_z
_atom_site_occupancy
Pt1 0.000 0.000 0.500 1
H1 0.000 0.000 0.000 1
Y1 0.500 0.000 0.000 1
Y2 0.000 0.500 0.000 1
Hg1 0.500 0.500 0.500 1
```

3.
Crystalline DyUTeN2 at its relaxed geometry. Source: Alexandria, functional PBE.

Properties
uncorrected formation energy	-1.50	eV/atom
DFT total energy	-8.64	eV per atom

The structure in CIF format:
```
data_DyUTeN2
_chemical_formula_sum 'Dy1 U1 Te1 N2'
_cell_length_a 3.912
_cell_length_b 3.912
_cell_length_c 6.877
_cell_angle_alpha 106.53
_cell_angle_beta 106.53
_cell_angle_gamma 90.00
_space_group_name_H-M_alt 'P 1'
_space_group_IT_number 1
loop_
_space_group_symop_operation_xyz
'x,y,z'
loop_
_atom_site_label
_atom_site_fract_x
_atom_site_fract_y
_atom_site_fract_z
_atom_site_occupancy
Te1 0.505 0.505 0.010 1
N1 0.244 0.744 0.487 1
U1 0.168 0.168 0.335 1
N2 0.744 0.244 0.487 1
Dy1 0.840 0.840 0.680 1
```

4.
Crystalline Cu2SiSbAs at its relaxed geometry. Source: Alexandria, functional PBE.

Properties
uncorrected formation energy	0.66	eV/atom
DFT total energy	-3.82	eV per atom

The structure in CIF format:
```
data_Cu2SiSbAs
_chemical_formula_sum 'Cu2 Si1 Sb1 As1'
_cell_length_a 4.433
_cell_length_b 5.753
_cell_length_c 4.433
_cell_angle_alpha 90.00
_cell_angle_beta 90.00
_cell_angle_gamma 90.00
_space_group_name_H-M_alt 'P 1'
_space_group_IT_number 1
loop_
_space_group_symop_operation_xyz
'x,y,z'
loop_
_atom_site_label
_atom_site_fract_x
_atom_site_fract_y
_atom_site_fract_z
_atom_site_occupancy
Sb1 0.000 0.500 0.000 1
Si1 0.500 0.500 0.500 1
Cu1 0.000 0.000 0.500 1
As1 0.000 0.000 0.000 1
Cu2 0.500 0.000 0.000 1
```

Question: DFT total energy of number 2 (Y2HgHPt)?
Answer: -5.24 eV per atom